1.
Material: Pr3ThP4
Method: DFT, PBE-GGA
State: relaxed

Summary:
ρ: 6.24 g cm⁻³
uncorrected energy: -6.9783 eV/atom

```
data_Pr3ThP4
_chemical_formula_sum 'Pr6 Th2 P8'
_cell_length_a 8.3713
_cell_length_b 11.8326
_cell_length_c 4.1869
_cell_angle_alpha 90.00
_cell_angle_beta 90.00
_cell_angle_gamma 90.00
_space_group_name_H-M_alt 'C m m m'
_space_group_IT_number 65
_space_group_name_Hall '-C 2 2'
loop_
_atom_site_label
_atom_site_fract_x
_atom_site_fract_y
_atom_site_fract_z
_atom_site_occupancy
Pr1 0.0000 0.0000 0.0000 1
Pr2 0.2500 0.2500 0.5000 1
Th1 0.0000 0.5000 0.0000 1
P1 0.0000 0.2532 0.0000 1
P2 0.2448 0.5000 0.5000 1
```

=====

2.
Material: TbHoB4
Method: DFT, PBE-GGA
State: relaxed

Summary:
ρ: 8.40 g cm⁻³
uncorrected energy: -6.5457 eV/atom

```
data_TbHoB4
_chemical_formula_sum 'Tb2 Ho2 B8'
_cell_length_a 3.2934
_cell_length_b 5.7033
_cell_length_c 7.7244
_cell_angle_alpha 90.00
_cell_angle_beta 90.00
_cell_angle_gamma 90.00
_space_group_name_H-M_alt 'I m m m'
_space_group_IT_number 71
_space_group_name_Hall '-I 2 2'
loop_
_atom_site_label
_atom_site_fract_x
_atom_site_fract_y
_atom_site_fract_z
_atom_site_occupancy
Tb1 0.0000 0.0000 0.0000 1
Ho1 0.0000 0.0000 0.5000 1
B1 0.0000 0.3334 0.2497 1
```

=====

3.
Material: Sm2Dy2CI2Cl3
Method: DFT, PBE-GGA
State: relaxed

Summary:
energy above the lowest structure with this stoichiometry: 0.0336 eV per atom
ρ: 6.07 g cm⁻³
uncorrected energy: -5.0733 eV/atom

```
data_Sm2Dy2CI2Cl3
_chemical_formula_sum 'Sm4 Dy4 C2 I4 Cl6'
_cell_length_a 17.9597
_cell_length_b 3.8561
_cell_length_c 8.0391
_cell_angle_alpha 90.00
_cell_angle_beta 101.12
_cell_angle_gamma 90.00
_space_group_name_H-M_alt 'C 1 2/m 1'
_space_group_IT_number 12
_space_group_name_Hall '-C 2y'
loop_
_atom_site_label
_atom_site_fract_x
_atom_site_fract_y
_atom_site_fract_z
_atom_site_occupancy
Sm1 0.1396 0.0000 0.0671 1
Dy1 0.0043 0.5000 0.7959 1
C1 0.0000 0.0000 0.0000 1
I1 0.1648 0.5000 0.3693 1
Cl1 0.0000 0.0000 0.5000 1
Cl2 0.1652 0.5000 0.8298 1
```

=====

4.
Material: LiTbFeSe3
Method: DFT, PBE-GGA
State: relaxed

Summary:
energy above the lowest structure with this stoichiometry: 0.0097 eV per atom
ρ: 5.16 g cm⁻³
uncorrected energy: -5.3481 eV/atom

```
data_LiTbFeSe3
_chemical_formula_sum 'Li4 Tb4 Fe4 Se12'
_cell_length_a 13.5615
_cell_length_b 3.9306
_cell_length_c 11.0730
_cell_angle_alpha 90.00
_cell_angle_beta 90.00
_cell_angle_gamma 90.00
_space_group_name_H-M_alt 'P n m a'
_space_group_IT_number 62
_space_group_name_Hall '-P 2ac 2n'
loop_
_atom_site_label
_atom_site_fract_x
_atom_site_fract_y
_atom_site_fract_z
_atom_site_occupancy
Li1 0.2377 0.2500 0.1484 1
Tb1 0.0222 0.7500 0.8404 1
Fe1 0.0121 0.2500 0.5783 1
Se1 0.0972 0.2500 0.3830 1
Se2 0.1139 0.7500 0.0720 1
Se3 0.1444 0.2500 0.7294 1
```